Crystalline Cs2Pd2Au at its relaxed geometry, computed with PBE.

Cell lengths 7.1980, 7.1980, 5.5995 Å; angles 90.00, 90.00, 90.00 degrees
Space group P4/mbm (No. 127)
Symmetry-distinct sites (fractional):
Cs: 0.1836 0.3164 0.0000
Pd: 0.1337 0.6337 0.5000
Au: 0.0000 0.0000 0.5000

Magnetic moment = 0.0 μB/f.u.
Energy above the most stable polymorph in this dataset = 0.2081 eV/atom
DFT formation energy = 53 meV per atom
Total DFT energy (no corrections) = -3.021 eV per atom
Calculated volume = 290.1 Å³/cell
DOS(E_F) = 4.4 states/eV/cell

=====

Crystalline CsPdAu at its relaxed geometry, computed with PBE.

Cell lengths 4.6375, 6.7541, 7.0091 Å; angles 115.01, 109.13, 90.28 degrees
Space group P-1 (No. 2)
Symmetry-distinct sites (fractional):
Cs: 0.1121 0.2989 0.2298
Pd: 0.2082 0.9030 0.4166
Au: 0.4037 0.3003 0.8065

Magnetic moment = 0.0 μB/f.u.
Energy above the most stable polymorph in this dataset = 0.0000 eV/atom
DFT formation energy = -166 meV per atom
Total DFT energy (no corrections) = -3.274 eV per atom
Calculated volume = 185.3 Å³/cell
DOS(E_F) = 0.6 states/eV/cell

=====

Crystalline CsPdAu at its relaxed geometry, computed with PBE.

Cell lengths 4.5599, 7.8856, 10.9427 Å; angles 90.00, 90.00, 90.00 degrees
Space group Immm (No. 71)
Symmetry-distinct sites (fractional):
Cs: 0.0000 0.0000 0.2490
Pd: 0.0000 0.3360 0.5000
Au: 0.0000 0.3297 0.0000

Magnetic moment = 0.0 μB/f.u.
Energy above the most stable polymorph in this dataset = 0.1525 eV/atom
DFT formation energy = -13 meV per atom
Total DFT energy (no corrections) = -3.121 eV per atom
Calculated volume = 393.5 Å³/cell
DOS(E_F) = 3.0 states/eV/cell

=====

Crystalline Cs3PdAu2 at its relaxed geometry, computed with PBE.

Cell lengths 13.7061, 5.0474, 14.6053 Å; angles 90.00, 90.00, 90.00 degrees
Space group Pnma (No. 62)
Symmetry-distinct sites (fractional):
Cs: 0.0679 0.2500 0.1158
Cs: 0.1132 0.7500 0.5486
Cs: 0.1921 0.2500 0.7899
Pd: 0.1183 0.2500 0.3494
Au: 0.0560 0.7500 0.3140
Au: 0.2147 0.7500 0.9633

Magnetic moment = 0.0 μB/f.u.
DFT formation energy = -203 meV per atom
Total DFT energy (no corrections) = -2.587 eV per atom
Calculated volume = 1010.4 Å³/cell
DOS(E_F) = 9.4 states/eV/cell

=====

Crystalline Cs4PdAu2 at its relaxed geometry, computed with PBE.

Cell lengths 6.3976, 6.3976, 18.9850 Å; angles 90.00, 90.00, 90.00 degrees
Space group I4/mmm (No. 139)
Symmetry-distinct sites (fractional):
Cs: 0.0000 0.0000 0.1781
Cs: 0.0000 0.5000 0.0000
Pd: 0.0000 0.0000 0.0000
Au: 0.0000 0.0000 0.3651

Magnetic moment = 0.0 μB/f.u.
DFT formation energy = -83 meV per atom
Total DFT energy (no corrections) = -2.249 eV per atom
Calculated volume = 777.0 Å³/cell
DOS(E_F) = 2.1 states/eV/cell

=====

Crystalline CsPdAu at its relaxed geometry, computed with PBE.

Cell lengths 3.8159, 3.8159, 12.2520 Å; angles 90.00, 90.00, 90.00 degrees
Space group I4mm (No. 107)
Symmetry-distinct sites (fractional):
Cs: 0.0000 0.0000 0.0000
Pd: 0.0000 0.0000 0.2627
Au: 0.0000 0.0000 0.7279

Magnetic moment = 0.0 μB/f.u.
Energy above the most stable polymorph in this dataset = 0.1427 eV/atom
DFT formation energy = -23 meV per atom
Total DFT energy (no corrections) = -3.131 eV per atom
Calculated volume = 178.4 Å³/cell
DOS(E_F) = 1.4 states/eV/cell

=====

Among the records above, which one has the lowest DOS(E_F)? number 2